Computed, not measured: a relaxed CsKIn2Br4 crystal at the PBE level of DFT.

Summary:
The value obtained for the calculated density is 3.671 Mg/m³. The value obtained for the total energy is -23.63 eV per cell. Its density of states at the Fermi level is 0.000 states/eV per cell. The formation energy from raw total energies comes out at -1.19 eV/atom.

Lattice parameters (Å, degrees): 8.397 4.882 8.455 90.00 109.69 90.00
Space group P2/m (No. 10)
Inequivalent atoms, fractional coordinates:
Cs: 0.000 0.000 0.000 x1
K: 0.000 0.500 0.500 x1
In: 0.500 0.000 0.500 x1
In: 0.500 0.500 0.000 x1
Br: 0.257 0.000 0.742 x2
Br: 0.265 0.500 0.268 x2